NaTiFeF6 after structural relaxation. Source: Alexandria, functional PBE with a Hubbard U.

Output
- V: 13.7 Å³ per atom
- Energy: -5.699 eV per atom
- Mass density: 3.25 g cm⁻³
- Symmetry: P-31c

Lattice parameters (Å, degrees): 5.2892 5.2892 10.1640 90.00 90.00 120.00
With the nearest neighbours (Å) after each atom.
Element x y z (fractional)
Na (0.0000, 0.0000, 0.0000)  6 F 2.33
Na (0.0000, 0.0000, 0.5000)  6 F 2.33
Ti (0.3333, 0.6667, 0.2500)  6 F 1.97
Ti (0.6667, 0.3333, 0.7500)  6 F 1.97
Fe (0.3333, 0.6667, 0.7500)  6 F 2.14
Fe (0.6667, 0.3333, 0.2500)  6 F 2.14
F (0.0244, 0.3594, 0.1407)  1 Ti 1.97, 1 Fe 2.14
F (0.0244, 0.6650, 0.3593)  1 Ti 1.97, 1 Fe 2.14
F (0.3350, 0.3594, 0.3593)  1 Ti 1.97, 1 Fe 2.14
F (0.3350, 0.9756, 0.1407)  1 Ti 1.97, 1 Fe 2.14
F (0.3594, 0.0244, 0.6407)  1 Ti 1.97, 1 Fe 2.14
F (0.3594, 0.3350, 0.8593)  1 Ti 1.97, 1 Fe 2.14
F (0.6406, 0.6650, 0.1407)  1 Ti 1.97, 1 Fe 2.14
F (0.6406, 0.9756, 0.3593)  1 Ti 1.97, 1 Fe 2.14
F (0.6650, 0.0244, 0.8593)  1 Ti 1.97, 1 Fe 2.14
F (0.6650, 0.6406, 0.6407)  1 Ti 1.97, 1 Fe 2.14
F (0.9756, 0.3350, 0.6407)  1 Ti 1.97, 1 Fe 2.14
F (0.9756, 0.6406, 0.8593)  1 Ti 1.97, 1 Fe 2.14